# NaLuZnSe3

An optimized crystal structure of NaLuZnSe3 (GGA-PBE, the Open Quantum Materials Database).

Output
Distance to the lowest polymorph of the same formula   0.001 eV/atom
SG   Pnma (62)

Unit cell a=10.789 b=4.007 c=13.596 alpha=90.00 beta=90.00 gamma=90.00
Element x y z (fractional)
Zn: 0.240 0.500 0.783
Zn: 0.760 0.000 0.217
Zn: 0.260 0.000 0.283
Zn: 0.740 0.500 0.717
Se: 0.740 0.000 0.830
Se: 0.921 0.500 0.610
Se: 0.760 0.500 0.330
Se: 0.950 0.000 0.119
Se: 0.421 0.500 0.890
Se: 0.050 0.500 0.881
Se: 0.260 0.500 0.170
Se: 0.079 0.000 0.390
Se: 0.240 0.000 0.670
Se: 0.579 0.000 0.110
Se: 0.550 0.500 0.619
Se: 0.450 0.000 0.381
Na: 0.222 0.000 0.996
Na: 0.722 0.000 0.504
Na: 0.778 0.500 0.004
Na: 0.278 0.500 0.496
Lu: 0.512 0.500 0.243
Lu: 0.488 0.000 0.757
Lu: 0.012 0.500 0.257
Lu: 0.988 0.000 0.743

---

# NaLuZnSe3

An optimized crystal structure of NaLuZnSe3 (GGA-PBE, the Open Quantum Materials Database).

Output
Distance to the lowest polymorph of the same formula   0.118 eV/atom
SG   Pnma (62)

Unit cell a=8.246 b=4.140 c=16.307 alpha=90.00 beta=90.00 gamma=90.00
Element x y z (fractional)
Se: 0.499 0.250 0.084
Se: 0.873 0.750 0.054
Se: 0.999 0.250 0.416
Se: 0.127 0.250 0.946
Se: 0.627 0.250 0.554
Se: 0.698 0.750 0.288
Se: 0.001 0.750 0.584
Se: 0.198 0.750 0.212
Se: 0.302 0.250 0.712
Se: 0.802 0.250 0.788
Se: 0.501 0.750 0.916
Se: 0.373 0.750 0.446
Lu: 0.758 0.250 0.955
Lu: 0.742 0.750 0.455
Lu: 0.258 0.250 0.545
Lu: 0.242 0.750 0.045
Zn: 0.373 0.250 0.854
Zn: 0.627 0.750 0.146
Zn: 0.873 0.250 0.646
Zn: 0.127 0.750 0.354
Na: 0.069 0.750 0.781
Na: 0.569 0.750 0.719
Na: 0.431 0.250 0.281
Na: 0.931 0.250 0.219

---

# NaLuZnSe3

An optimized crystal structure of NaLuZnSe3 (GGA-PBE, the Open Quantum Materials Database).

Output
Distance to the lowest polymorph of the same formula   0.000 eV/atom
SG   Pnma (62)

Unit cell a=10.777 b=4.005 c=13.687 alpha=90.00 beta=90.00 gamma=90.00
Element x y z (fractional)
Se: 0.264 0.750 0.330
Se: 0.915 0.750 0.890
Se: 0.085 0.250 0.110
Se: 0.764 0.750 0.170
Se: 0.415 0.750 0.610
Se: 0.045 0.750 0.620
Se: 0.455 0.250 0.120
Se: 0.236 0.250 0.830
Se: 0.585 0.250 0.390
Se: 0.545 0.750 0.880
Se: 0.736 0.250 0.670
Se: 0.955 0.250 0.380
Lu: 0.984 0.250 0.757
Lu: 0.016 0.750 0.243
Lu: 0.484 0.250 0.743
Lu: 0.516 0.750 0.257
Na: 0.719 0.250 0.994
Na: 0.219 0.250 0.506
Na: 0.781 0.750 0.494
Na: 0.281 0.750 0.006
Zn: 0.265 0.250 0.218
Zn: 0.235 0.750 0.718
Zn: 0.735 0.750 0.782
Zn: 0.765 0.250 0.282

---

# NaLuSi

An optimized crystal structure of NaLuSi (GGA-PBE, the Open Quantum Materials Database).

Output
SG   F-43m (216)

Unit cell a=4.765 b=4.765 c=4.765 alpha=60.00 beta=60.00 gamma=60.00
Element x y z (fractional)
Lu: 0.250 0.250 0.250
Na: 0.750 0.750 0.750
Si: 0.000 0.000 0.000

---

# NaLuSi

An optimized crystal structure of NaLuSi (GGA-PBE, the Open Quantum Materials Database).

Output
SG   F-43m (216)

Unit cell a=4.764 b=4.764 c=4.764 alpha=60.00 beta=60.00 gamma=60.00
Element x y z (fractional)
Si: 0.750 0.750 0.750
Na: 0.250 0.250 0.250
Lu: 0.000 0.000 0.000

---

# NaSmLu

An optimized crystal structure of NaSmLu (GGA-PBE, the Open Quantum Materials Database).

Output
Distance to the lowest polymorph of the same formula   0.000 eV/atom
SG   F-43m (216)

Unit cell a=5.295 b=5.295 c=5.295 alpha=60.00 beta=60.00 gamma=60.00
Element x y z (fractional)
Sm: 0.750 0.750 0.750
Na: 0.000 0.000 0.000
Lu: 0.250 0.250 0.250

---

Computed E (eV per atom) in order:
-4.23 -4.11 -4.23 -3.91 -3.52 -2.69